Record 1
Be2AsAu: optimized geometry, PBE.

Formation energy from the elements (eV per atom): 0.024
Energy (eV per atom): -3.821
Space group: No. 4

```
Be2AsAu
1.0
2.9669 0.0000 0.0000
0.0000 3.6217 0.0000
-1.4412 0.0000 11.4541
Be As Au
4 2 2
Direct
0.0845 0.0000 0.1662
0.2394 0.4909 0.4805
0.7606 0.9909 0.5195
0.9155 0.5000 0.8338
0.1856 0.9855 0.3664
0.8144 0.4855 0.6336
0.4440 0.9901 0.9000
0.5560 0.4901 0.1000
```

---

Record 2
NdHoHg2: optimized geometry, PBE.

Formation energy from the elements (eV per atom): -0.477
Energy (eV per atom): -2.965
Space group: No. 123

```
NdHoHg2
1.0
3.7320 0.0000 0.0000
0.0000 3.7320 0.0000
0.0000 0.0000 7.7052
Nd Ho Hg
1 1 2
Direct
0.0000 0.0000 0.0000
0.0000 0.0000 0.5000
0.5000 0.5000 0.2695
0.5000 0.5000 0.7305
```

---

Record 3
KRe2Hg2: optimized geometry, PBE.

Formation energy from the elements (eV per atom): 0.768
Energy (eV per atom): -4.552
Space group: No. 127

```
KRe2Hg2
1.0
8.7282 0.0000 0.0000
0.0000 8.7282 0.0000
0.0000 0.0000 2.8308
K Re Hg
2 4 4
Direct
0.0000 0.0000 0.0000
0.5000 0.5000 0.0000
0.0946 0.4054 0.0000
0.4054 0.9054 0.0000
0.5946 0.0946 0.0000
0.9054 0.5946 0.0000
0.1944 0.6944 0.5000
0.3056 0.1944 0.5000
0.6944 0.8056 0.5000
0.8056 0.3056 0.5000
```

---

Record 4
ZnReCl4: optimized geometry, PBE.

Formation energy (no corrections) (meV per atom): 1313
Energy (eV per atom): -2.205
Space group: No. 216

```
ZnReCl4
1.0
0.0000 4.1418 4.1418
4.1418 0.0000 4.1418
4.1418 4.1418 0.0000
Zn Re Cl
1 1 4
Direct
0.0000 0.0000 0.0000
0.2500 0.2500 0.2500
0.1276 0.6241 0.6241
0.6241 0.1276 0.6241
0.6241 0.6241 0.1276
0.6241 0.6241 0.6241
```

---

Record 5
K3AgHg2: optimized geometry, PBE.

Formation energy from the elements (eV per atom): -0.162
Energy (eV per atom): -1.287
Space group: No. 62

```
K3AgHg2
1.0
13.8970 0.0000 0.0000
0.0000 4.9374 0.0000
0.0000 0.0000 13.6023
K Ag Hg
12 4 8
Direct
0.0522 0.2500 0.1239
0.1183 0.7500 0.5606
0.2114 0.2500 0.7928
0.2886 0.7500 0.2928
0.3817 0.2500 0.0606
0.4478 0.7500 0.6239
0.5522 0.2500 0.3761
0.6183 0.7500 0.9394
0.7114 0.2500 0.7072
0.7886 0.7500 0.2072
0.8817 0.2500 0.4394
0.9478 0.7500 0.8761
0.1285 0.2500 0.3738
0.3715 0.7500 0.8738
0.6285 0.2500 0.1262
0.8715 0.7500 0.6262
0.0291 0.7500 0.3150
0.1944 0.7500 0.9906
0.3056 0.2500 0.4906
0.4709 0.2500 0.8150
0.5291 0.7500 0.1850
0.6944 0.7500 0.5094
0.8056 0.2500 0.0094
0.9709 0.2500 0.6850
```

---

Record 6
Rb3Nd2PtO6: optimized geometry, PBE.

Formation energy (no corrections) (meV per atom): -1867
Energy (eV per atom): -5.886
Space group: No. 12

```
Rb3Nd2PtO6
1.0
3.1805 -5.2139 0.0000
3.1805 5.2139 0.0000
-2.3674 0.0000 6.5731
Rb Nd Pt O
3 2 1 6
Direct
0.0000 0.0000 0.0000
0.3369 0.6631 0.0000
0.6631 0.3369 0.0000
0.1648 0.8352 0.5000
0.8352 0.1648 0.5000
0.5000 0.5000 0.5000
0.1349 0.4364 0.3344
0.2045 0.2045 0.7142
0.4364 0.1349 0.3344
0.5636 0.8651 0.6656
0.7955 0.7955 0.2858
0.8651 0.5636 0.6656
```